VASP calculation (GGA+U) on a relaxed structure of Li3Fe2Si2O8.

a b c (Å): 5.1317 10.6776 6.5431
angles (deg): 90.00 90.00 90.00
With the nearest neighbours (Å) after each atom.
Space group P2_1 (No. 4)
Asymmetric unit:
Li (0.0494, 0.0000, 0.4837) [2 per cell]  3 O 1.93-2.12
Li (0.0637, 0.2273, 0.2515) [2 per cell]  4 O 1.91-2.12
Li (0.4403, 0.9096, 0.2385) [2 per cell]  4 O 1.94-2.11
Fe (0.0728, 0.2327, 0.7655) [2 per cell]  4 O 1.97-2.09
Fe (0.4450, 0.9053, 0.7507) [2 per cell]  4 O 1.87-1.96
Si (0.0549, 0.4822, 0.9947) [2 per cell]  4 O 1.61-1.69
Si (0.4328, 0.6641, 0.4823) [2 per cell]  4 O 1.62-1.69
O (0.0159, 0.1289, 0.0110) [2 per cell]  1 Si 1.61
O (0.0481, 0.9150, 0.2172) [2 per cell]  1 Si 1.65
O (0.0742, 0.9122, 0.7965) [2 per cell]  1 Si 1.69
O (0.1118, 0.6631, 0.4947) [2 per cell]  1 Si 1.65
O (0.3719, 0.4545, 0.0154) [2 per cell]  1 Si 1.66
O (0.4484, 0.2410, 0.3169) [2 per cell]  1 Si 1.67
O (0.4597, 0.0150, 0.5117) [2 per cell]  1 Si 1.69
O (0.4646, 0.2359, 0.7204) [2 per cell]  1 Si 1.62

Calculated values
uncorrected energy: -201.47 eV/cell
excess energy over the best structure of this formula in the dataset: 2.4 meV per atom
volume: 359 Å³ per cell